Record 1
# Gd2YIn3IrAu2, optimized geometry, DFT GGA-PBE
data_Gd2YIn3IrAu2
_chemical_formula_sum 'Gd4 Y2 In6 Ir2 Au4'
_symmetry_space_group_name_H-M 'A m m 2'
_symmetry_Int_Tables_number 38
_cell_length_a 3.9622
_cell_length_b 13.4037
_cell_length_c 7.7525
_cell_angle_alpha 90.00
_cell_angle_beta 90.00
_cell_angle_gamma 90.00
loop_
_symmetry_equiv_pos_as_xyz
'x,y,z'
'-x,-y,z'
'-x,y,z'
'x,-y,z'
'x,y+1/2,z+1/2'
'-x,-y+1/2,z+1/2'
'-x,y+1/2,z+1/2'
'x,-y+1/2,z+1/2'
loop_
_atom_site_label
_atom_site_type_symbol
_atom_site_fract_x
_atom_site_fract_y
_atom_site_fract_z
_atom_site_occupancy
Gd1 Gd 0.0000 0.1991 0.0000 1
Y1 Y 0.0000 0.0000 0.5969 1
In1 In 0.5000 0.0000 0.9454 1
In2 In 0.5000 0.1264 0.3263 1
Ir1 Ir 0.0000 0.0000 0.1991 1
Au1 Au 0.5000 0.1663 0.6990 1
# raw total energy	-5.115	eV/atom

---

Record 2
# GdY2In3Ir2Au, optimized geometry, DFT GGA-PBE
data_GdY2In3Ir2Au
_chemical_formula_sum 'Gd2 Y4 In6 Ir4 Au2'
_symmetry_space_group_name_H-M 'A m m 2'
_symmetry_Int_Tables_number 38
_cell_length_a 3.9098
_cell_length_b 13.2720
_cell_length_c 7.6805
_cell_angle_alpha 90.00
_cell_angle_beta 90.00
_cell_angle_gamma 90.00
loop_
_symmetry_equiv_pos_as_xyz
'x,y,z'
'-x,-y,z'
'-x,y,z'
'x,-y,z'
'x,y+1/2,z+1/2'
'-x,-y+1/2,z+1/2'
'-x,y+1/2,z+1/2'
'x,-y+1/2,z+1/2'
loop_
_atom_site_label
_atom_site_type_symbol
_atom_site_fract_x
_atom_site_fract_y
_atom_site_fract_z
_atom_site_occupancy
Gd1 Gd 0.0000 0.0000 0.0000 1
Y1 Y 0.0000 0.2041 0.3863 1
In1 In 0.5000 0.0000 0.3242 1
In2 In 0.5000 0.1345 0.7241 1
Ir1 Ir 0.5000 0.1662 0.0906 1
Au1 Au 0.0000 0.0000 0.5907 1
# raw total energy	-5.899	eV/atom